First-principles (PBE-GGA) data for crystalline CaHg2Os at its relaxed geometry, as listed in the Alexandria database.

Output
SG: P4/mmm (123)
Total magnetization (μB per cell): 0.00
Energy of formation (eV/atom): 0.37
Density of states at the Fermi level (states/eV per cell): 3.20

a b c (Å): 4.2122 4.3831 4.3831
angles (deg): 90.00 90.00 90.00
With the nearest neighbours (Å) after each atom.
Atoms (fractional coordinates):
1 Ca 0.5000 0.0000 0.5000  8 Hg 3.04, 4 Os 3.10
2 Os 0.5000 0.5000 0.0000  8 Hg 3.04, 4 Ca 3.10
3 Hg 0.0000 0.0000 0.0000  4 Ca 3.04, 4 Os 3.04, 4 Hg 3.10
4 Hg 0.0000 0.5000 0.5000  4 Ca 3.04, 4 Os 3.04, 4 Hg 3.10